(1)
The following is a DFT calculation (PBE-GGA) of an optimized crystal structure of VPdN3. Values from VASP.

```
&SYSTEM
  ibrav = 0, nat = 5, ntyp = 3
/
ATOMIC_SPECIES
V 50.94 V.upf
Pd 106.42 Pd.upf
N 14.01 N.upf
ATOMIC_POSITIONS crystal
V 0.000 0.000 0.000
Pd 0.500 0.500 0.500
N 0.000 0.500 0.000
N 0.000 0.000 0.500
N 0.500 0.000 0.000
CELL_PARAMETERS angstrom
-0.170 0.171 3.803
-2.798 -2.588 -0.009
2.582 -2.792 0.241
```

Output
Total moment: 0.4 μB/f.u.



(2)
The following is a DFT calculation (PBE-GGA) of an optimized crystal structure of V4Pd2N. Values from VASP.

```
&SYSTEM
  ibrav = 0, nat = 7, ntyp = 3
/
ATOMIC_SPECIES
N 14.01 N.upf
Pd 106.42 Pd.upf
V 50.94 V.upf
ATOMIC_POSITIONS crystal
N 0.000 0.000 0.000
Pd 0.355 0.355 0.289
Pd 0.645 0.645 0.711
V 0.161 0.161 0.679
V 0.839 0.839 0.321
V 0.000 0.500 0.000
V 0.500 0.000 0.000
CELL_PARAMETERS angstrom
-0.046 -2.178 -3.285
3.933 0.181 -0.176
2.336 -6.186 1.703
```

Output
Total moment: 1.8 μB/f.u.



(3)
The following is a DFT calculation (PBE-GGA) of an optimized crystal structure of VPdN2. Values from VASP.

```
&SYSTEM
  ibrav = 0, nat = 4, ntyp = 3
/
ATOMIC_SPECIES
V 50.94 V.upf
Pd 106.42 Pd.upf
N 14.01 N.upf
ATOMIC_POSITIONS crystal
V 0.500 0.500 0.500
Pd 0.000 0.000 0.000
N 0.892 0.892 0.892
N 0.108 0.108 0.108
CELL_PARAMETERS angstrom
1.661 0.000 6.167
-0.830 1.438 6.167
-0.830 -1.438 6.167
```

Output
Total moment: 0.0 μB/f.u.
Energy above the most stable polymorph in this dataset: 0.000 eV/atom



(4)
The following is a DFT calculation (PBE-GGA) of an optimized crystal structure of Y2VPdN. Values from VASP.

```
&SYSTEM
  ibrav = 0, nat = 5, ntyp = 4
/
ATOMIC_SPECIES
Y 88.91 Y.upf
N 14.01 N.upf
Pd 106.42 Pd.upf
V 50.94 V.upf
ATOMIC_POSITIONS crystal
Y 0.000 0.500 0.000
Y 0.500 0.000 0.000
N 0.000 0.000 0.000
Pd 0.500 0.500 0.500
V 0.000 0.000 0.500
CELL_PARAMETERS angstrom
-0.855 -4.225 2.335
4.130 0.588 2.575
-1.958 1.893 2.708
```

Output
Total moment: 1.8 μB/f.u.



(5)
The following is a DFT calculation (PBE-GGA) of an optimized crystal structure of Zr2VPdN. Values from VASP.

```
&SYSTEM
  ibrav = 0, nat = 5, ntyp = 4
/
ATOMIC_SPECIES
N 14.01 N.upf
Zr 91.22 Zr.upf
Pd 106.42 Pd.upf
V 50.94 V.upf
ATOMIC_POSITIONS crystal
N 0.000 0.500 0.000
Zr 0.000 0.000 0.500
Zr 0.500 0.000 0.000
Pd 0.000 0.000 0.000
V 0.500 0.500 0.500
CELL_PARAMETERS angstrom
-2.470 1.834 4.311
-1.709 -3.231 0.395
3.985 -1.739 3.024
```

Output
Total moment: 3.0 μB/f.u.
Energy above the most stable polymorph in this dataset: 1.871 eV/atom



(6)
The following is a DFT calculation (PBE-GGA) of an optimized crystal structure of Zr2VPdN. Values from VASP.

```
&SYSTEM
  ibrav = 0, nat = 5, ntyp = 4
/
ATOMIC_SPECIES
N 14.01 N.upf
Zr 91.22 Zr.upf
Pd 106.42 Pd.upf
V 50.94 V.upf
ATOMIC_POSITIONS crystal
N 0.000 0.000 0.000
Zr 0.000 0.500 0.000
Zr 0.500 0.000 0.000
Pd 0.500 0.500 0.500
V 0.000 0.000 0.500
CELL_PARAMETERS angstrom
4.530 0.000 0.000
0.000 4.530 0.000
0.000 0.000 3.853
```

Output
Total moment: 0.0 μB/f.u.
Energy above the most stable polymorph in this dataset: 0.000 eV/atom



(7)
The following is a DFT calculation (PBE-GGA) of an optimized crystal structure of PdW2N. Values from VASP.

```
&SYSTEM
  ibrav = 0, nat = 4, ntyp = 3
/
ATOMIC_SPECIES
Pd 106.42 Pd.upf
W 183.84 W.upf
N 14.01 N.upf
ATOMIC_POSITIONS crystal
Pd 0.000 0.000 0.000
W 0.107 0.107 0.678
W 0.893 0.893 0.322
N 0.500 0.500 0.500
CELL_PARAMETERS angstrom
2.802 0.000 0.000
1.401 2.427 0.000
1.401 0.809 8.206
```

Output
Total moment: 0.0 μB/f.u.



(8)
The following is a DFT calculation (PBE-GGA) of an optimized crystal structure of PdW3N. Values from VASP.

```
&SYSTEM
  ibrav = 0, nat = 5, ntyp = 3
/
ATOMIC_SPECIES
Pd 106.42 Pd.upf
W 183.84 W.upf
N 14.01 N.upf
ATOMIC_POSITIONS crystal
Pd 0.500 0.500 0.500
W 0.000 0.500 0.000
W 0.000 0.000 0.500
W 0.500 0.000 0.000
N 0.000 0.000 0.000
CELL_PARAMETERS angstrom
-0.965 3.970 -0.540
-0.583 -0.688 -4.021
-3.964 -0.865 0.723
```

Output
Total moment: 0.0 μB/f.u.
Energy above the most stable polymorph in this dataset: 0.000 eV/atom



(9)
The following is a DFT calculation (PBE-GGA) of an optimized crystal structure of Pd3WN. Values from VASP.

```
&SYSTEM
  ibrav = 0, nat = 5, ntyp = 3
/
ATOMIC_SPECIES
Pd 106.42 Pd.upf
W 183.84 W.upf
N 14.01 N.upf
ATOMIC_POSITIONS crystal
Pd 0.000 0.500 0.000
Pd 0.000 0.000 0.500
Pd 0.500 0.000 0.000
W 0.000 0.000 0.000
N 0.500 0.500 0.500
CELL_PARAMETERS angstrom
-2.601 -4.087 -0.014
4.082 -2.599 0.214
-0.188 0.103 4.839
```

Output
Total moment: 2.1 μB/f.u.
Energy above the most stable polymorph in this dataset: 1.372 eV/atom



(10)
The following is a DFT calculation (PBE-GGA) of an optimized crystal structure of Pd3WN. Values from VASP.

```
&SYSTEM
  ibrav = 0, nat = 5, ntyp = 3
/
ATOMIC_SPECIES
Pd 106.42 Pd.upf
W 183.84 W.upf
N 14.01 N.upf
ATOMIC_POSITIONS crystal
Pd 0.000 0.500 0.000
Pd 0.000 0.000 0.500
Pd 0.500 0.000 0.000
W 0.500 0.500 0.500
N 0.000 0.000 0.000
CELL_PARAMETERS angstrom
-2.650 -1.408 -2.894
3.118 -2.053 -1.856
-0.799 -3.344 2.358
```

Output
Total moment: 2.9 μB/f.u.
Energy above the most stable polymorph in this dataset: 0.000 eV/atom



(11)
The following is a DFT calculation (PBE-GGA) of an optimized crystal structure of PdWN2. Values from VASP.

```
&SYSTEM
  ibrav = 0, nat = 4, ntyp = 3
/
ATOMIC_SPECIES
Pd 106.42 Pd.upf
W 183.84 W.upf
N 14.01 N.upf
ATOMIC_POSITIONS crystal
Pd 0.000 0.000 0.000
W 0.500 0.500 0.500
N 0.894 0.894 0.894
N 0.106 0.106 0.106
CELL_PARAMETERS angstrom
1.720 0.000 6.382
-0.860 1.489 6.382
-0.860 -1.489 6.382
```

Output
Total moment: 0.0 μB/f.u.
Energy above the most stable polymorph in this dataset: 0.000 eV/atom



(12)
The following is a DFT calculation (PBE-GGA) of an optimized crystal structure of PdWN2. Values from VASP.

```
&SYSTEM
  ibrav = 0, nat = 8, ntyp = 3
/
ATOMIC_SPECIES
Pd 106.42 Pd.upf
W 183.84 W.upf
N 14.01 N.upf
ATOMIC_POSITIONS crystal
Pd 0.500 0.500 0.000
Pd 0.250 0.750 0.500
W 0.000 0.000 0.000
W 0.750 0.250 0.500
N 0.687 0.125 0.250
N 0.063 0.625 0.250
N 0.375 0.313 0.750
N 0.875 0.937 0.750
CELL_PARAMETERS angstrom
-2.817 3.748 -1.133
-2.425 -0.575 4.130
0.370 4.488 3.659
```

Output
Total moment: 0.0 μB/f.u.
Energy above the most stable polymorph in this dataset: 0.057 eV/atom



(13)
The following is a DFT calculation (PBE-GGA) of an optimized crystal structure of PdW3N. Values from VASP.

```
&SYSTEM
  ibrav = 0, nat = 5, ntyp = 3
/
ATOMIC_SPECIES
Pd 106.42 Pd.upf
W 183.84 W.upf
N 14.01 N.upf
ATOMIC_POSITIONS crystal
Pd 0.000 0.000 0.000
W 0.000 0.500 0.000
W 0.000 0.000 0.500
W 0.500 0.000 0.000
N 0.500 0.500 0.500
CELL_PARAMETERS angstrom
4.711 0.000 0.000
0.000 4.711 0.000
0.000 0.000 4.711
```

Output
Total moment: 0.0 μB/f.u.
Energy above the most stable polymorph in this dataset: 3.417 eV/atom



(14)
The following is a DFT calculation (PBE-GGA) of an optimized crystal structure of PdWN3. Values from VASP.

```
&SYSTEM
  ibrav = 0, nat = 5, ntyp = 3
/
ATOMIC_SPECIES
Pd 106.42 Pd.upf
W 183.84 W.upf
N 14.01 N.upf
ATOMIC_POSITIONS crystal
Pd 0.000 0.000 0.000
W 0.500 0.500 0.500
N 0.000 0.500 0.000
N 0.000 0.000 0.500
N 0.500 0.000 0.000
CELL_PARAMETERS angstrom
-3.012 -2.002 -1.220
0.019 -2.007 3.246
-2.344 2.555 1.594
```

Output
Total moment: 0.0 μB/f.u.



(15)
The following is a DFT calculation (PBE-GGA) of an optimized crystal structure of PdWN2. Values from VASP.

```
&SYSTEM
  ibrav = 0, nat = 4, ntyp = 3
/
ATOMIC_SPECIES
Pd 106.42 Pd.upf
W 183.84 W.upf
N 14.01 N.upf
ATOMIC_POSITIONS crystal
Pd 0.000 0.000 0.000
W 0.500 0.500 0.500
N 0.250 0.250 0.250
N 0.750 0.750 0.750
CELL_PARAMETERS angstrom
-2.019 -1.491 2.943
-0.562 2.082 3.211
-3.521 1.374 0.823
```

Output
Total moment: 0.0 μB/f.u.
Energy above the most stable polymorph in this dataset: 0.996 eV/atom



(16)
The following is a DFT calculation (PBE-GGA) of an optimized crystal structure of Pd2WN. Values from VASP.

```
&SYSTEM
  ibrav = 0, nat = 8, ntyp = 3
/
ATOMIC_SPECIES
Pd 106.42 Pd.upf
W 183.84 W.upf
N 14.01 N.upf
ATOMIC_POSITIONS crystal
Pd 0.511 0.125 0.250
Pd 0.239 0.625 0.250
Pd 0.375 0.489 0.750
Pd 0.875 0.761 0.750
W 0.000 0.000 0.000
W 0.750 0.250 0.500
N 0.500 0.500 0.000
N 0.250 0.750 0.500
CELL_PARAMETERS angstrom
7.713 0.000 0.000
0.000 7.713 0.000
3.857 3.857 2.007
```

Output
Total moment: 0.0 μB/f.u.



(17)
The following is a DFT calculation (PBE-GGA) of an optimized crystal structure of Pd2W3N. Values from VASP.

```
&SYSTEM
  ibrav = 0, nat = 24, ntyp = 3
/
ATOMIC_SPECIES
Pd 106.42 Pd.upf
W 183.84 W.upf
N 14.01 N.upf
ATOMIC_POSITIONS crystal
Pd 0.560 0.440 0.940
Pd 0.690 0.690 0.690
Pd 0.940 0.560 0.440
Pd 0.440 0.940 0.560
Pd 0.190 0.810 0.310
Pd 0.810 0.310 0.190
Pd 0.310 0.190 0.810
Pd 0.060 0.060 0.060
W 0.625 0.299 0.549
W 0.701 0.049 0.875
W 0.549 0.625 0.299
W 0.951 0.375 0.799
W 0.299 0.549 0.625
W 0.451 0.125 0.201
W 0.049 0.875 0.701
W 0.799 0.951 0.375
W 0.201 0.451 0.125
W 0.875 0.701 0.049
W 0.375 0.799 0.951
W 0.125 0.201 0.451
N 0.875 0.125 0.625
N 0.125 0.625 0.875
N 0.625 0.875 0.125
N 0.375 0.375 0.375
CELL_PARAMETERS angstrom
6.888 0.000 0.000
0.000 6.888 0.000
0.000 0.000 6.888
```

Output
Total moment: 0.0 μB/f.u.



(18)
The following is a DFT calculation (PBE-GGA) of an optimized crystal structure of PdW2N. Values from VASP.

```
&SYSTEM
  ibrav = 0, nat = 8, ntyp = 3
/
ATOMIC_SPECIES
Pd 106.42 Pd.upf
W 183.84 W.upf
N 14.01 N.upf
ATOMIC_POSITIONS crystal
Pd 0.000 0.000 0.000
Pd 0.750 0.250 0.500
W 0.516 0.125 0.250
W 0.234 0.625 0.250
W 0.375 0.484 0.750
W 0.875 0.766 0.750
N 0.500 0.500 0.000
N 0.250 0.750 0.500
CELL_PARAMETERS angstrom
-0.022 3.008 -3.725
2.156 -3.320 -2.694
-4.129 -2.209 -4.837
```

Output
Total moment: 0.0 μB/f.u.



(19)
The following is a DFT calculation (PBE-GGA) of an optimized crystal structure of PdWN3. Values from VASP.

```
&SYSTEM
  ibrav = 0, nat = 5, ntyp = 3
/
ATOMIC_SPECIES
Pd 106.42 Pd.upf
W 183.84 W.upf
N 14.01 N.upf
ATOMIC_POSITIONS crystal
Pd 0.500 0.500 0.500
W 0.000 0.000 0.000
N 0.000 0.500 0.000
N 0.000 0.000 0.500
N 0.500 0.000 0.000
CELL_PARAMETERS angstrom
-3.109 -1.878 -1.547
2.427 -2.581 -1.743
-0.182 -2.323 3.187
```

Output
Total moment: 0.0 μB/f.u.



(20)
The following is a DFT calculation (PBE-GGA) of an optimized crystal structure of Y4Pd2N. Values from VASP.

```
&SYSTEM
  ibrav = 0, nat = 7, ntyp = 3
/
ATOMIC_SPECIES
Y 88.91 Y.upf
Pd 106.42 Pd.upf
N 14.01 N.upf
ATOMIC_POSITIONS crystal
Y 0.824 0.824 0.353
Y 0.176 0.176 0.647
Y 0.000 0.500 0.000
Y 0.500 0.000 0.000
Pd 0.632 0.632 0.736
Pd 0.368 0.368 0.264
N 0.000 0.000 0.000
CELL_PARAMETERS angstrom
-0.648 -1.500 4.397
4.627 -0.614 0.473
2.645 5.739 4.849
```

Output
Total moment: 0.0 μB/f.u.



(21)
The following is a DFT calculation (PBE-GGA) of an optimized crystal structure of YPdN2. Values from VASP.

```
&SYSTEM
  ibrav = 0, nat = 4, ntyp = 3
/
ATOMIC_SPECIES
Y 88.91 Y.upf
Pd 106.42 Pd.upf
N 14.01 N.upf
ATOMIC_POSITIONS crystal
Y 0.500 0.500 0.500
Pd 0.000 0.000 0.000
N 0.894 0.894 0.894
N 0.106 0.106 0.106
CELL_PARAMETERS angstrom
0.390 -1.924 5.989
-0.944 -4.701 4.091
2.614 -4.039 4.072
```

Output
Total moment: 0.0 μB/f.u.
Energy above the most stable polymorph in this dataset: 0.026 eV/atom



(22)
The following is a DFT calculation (PBE-GGA) of an optimized crystal structure of Y12Pd3N5. Values from VASP.

```
&SYSTEM
  ibrav = 0, nat = 80, ntyp = 3
/
ATOMIC_SPECIES
Pd 106.42 Pd.upf
N 14.01 N.upf
Y 88.91 Y.upf
ATOMIC_POSITIONS crystal
Pd 0.750 0.375 0.125
Pd 0.875 0.750 0.125
Pd 0.375 0.750 0.625
Pd 0.250 0.125 0.375
Pd 0.875 0.125 0.250
Pd 0.375 0.625 0.250
Pd 0.625 0.375 0.750
Pd 0.125 0.875 0.750
Pd 0.750 0.875 0.625
Pd 0.625 0.250 0.375
Pd 0.125 0.250 0.875
Pd 0.250 0.625 0.875
N 0.125 0.375 0.250
N 0.000 0.500 0.000
N 0.000 0.000 0.000
N 0.375 0.250 0.125
N 0.500 0.000 0.500
N 0.500 0.500 0.000
N 0.125 0.750 0.375
N 0.750 0.125 0.875
N 0.750 0.625 0.375
N 0.375 0.125 0.750
N 0.625 0.875 0.250
N 0.500 0.500 0.500
N 0.500 0.000 0.000
N 0.000 0.000 0.500
N 0.250 0.375 0.625
N 0.250 0.875 0.125
N 0.000 0.500 0.500
N 0.875 0.250 0.625
N 0.625 0.750 0.875
N 0.875 0.625 0.750
Y 0.702 0.117 0.019
Y 0.317 0.519 0.402
Y 0.981 0.383 0.298
Y 0.519 0.202 0.117
Y 0.585 0.702 0.683
Y 0.981 0.598 0.183
Y 0.317 0.798 0.415
Y 0.098 0.915 0.117
Y 0.598 0.981 0.683
Y 0.702 0.585 0.183
Y 0.798 0.481 0.383
Y 0.817 0.902 0.019
Y 0.117 0.702 0.519
Y 0.383 0.402 0.085
Y 0.085 0.902 0.383
Y 0.415 0.117 0.598
Y 0.085 0.183 0.202
Y 0.481 0.683 0.098
Y 0.817 0.915 0.298
Y 0.117 0.415 0.098
Y 0.383 0.981 0.798
Y 0.598 0.617 0.415
Y 0.902 0.817 0.519
Y 0.798 0.317 0.915
Y 0.402 0.383 0.585
Y 0.098 0.183 0.481
Y 0.202 0.683 0.085
Y 0.183 0.085 0.702
Y 0.617 0.019 0.202
Y 0.883 0.585 0.902
Y 0.519 0.317 0.902
Y 0.585 0.883 0.402
Y 0.915 0.817 0.798
Y 0.915 0.098 0.617
Y 0.883 0.298 0.481
Y 0.183 0.098 0.981
Y 0.617 0.598 0.915
Y 0.402 0.019 0.317
Y 0.298 0.415 0.817
Y 0.202 0.519 0.617
Y 0.902 0.085 0.883
Y 0.683 0.202 0.585
Y 0.481 0.798 0.883
Y 0.019 0.402 0.817
Y 0.415 0.298 0.317
Y 0.019 0.617 0.702
Y 0.683 0.481 0.598
Y 0.298 0.883 0.981
CELL_PARAMETERS angstrom
13.288 0.000 0.000
-4.429 12.528 0.000
-4.429 -6.264 10.849
```

Output
Total moment: 0.0 μB/f.u.



| no. | DOS at the Fermi energy (states/eV/f.u.) | E_tot (eV/atom) | uncorrected formation energy (eV per atom) |
| --- | --- | --- | --- |
| 1 | 4.9 | -7.0169 | 0.841 |
| 2 | 7.9 | -8.1382 | -0.255 |
| 3 | 2.2 | -7.9760 | -0.235 |
| 4 | 2.7 | -7.9985 | -0.886 |
| 5 | 5.2 | -6.9403 | 1.006 |
| 6 | 3.6 | -8.8117 | -0.865 |
| 7 | 2.9 | -9.4733 | 0.383 |
| 8 | 3.2 | -10.4387 | 0.037 |
| 9 | 4.0 | -5.1859 | 2.186 |
| 10 | 2.6 | -6.5574 | 0.814 |
| 11 | 2.5 | -8.7209 | -0.022 |
| 12 | 0.5 | -8.6642 | 0.035 |
| 13 | 3.3 | -7.0219 | 3.454 |
| 14 | 2.7 | -6.4637 | 2.161 |
| 15 | 2.7 | -7.7246 | 0.975 |
| 16 | 4.5 | -7.3037 | 0.612 |
| 17 | 2.6 | -9.7180 | -0.123 |
| 18 | 3.6 | -9.3073 | 0.549 |
| 19 | 5.0 | -7.7995 | 0.825 |
| 20 | 6.3 | -7.2453 | -0.879 |
| 21 | 4.0 | -7.1549 | -0.078 |
| 22 | 17.0 | -7.6771 | -0.938 |